1.
DFT (PBE) results for GdHoBe2Ge2 after structural relaxation.

Output
Space-group type: P-3m1 (164)
Magnetization, μB/f.u.: 0.002

Geometry as POSCAR:
```
GdHoBe2Ge2
1.0
3.922 0.000 0.000
-1.961 3.397 0.000
0.000 0.000 8.124
Be Gd Ge Ho
2 1 2 1
Direct
0.667 0.333 0.248
0.333 0.667 0.752
0.000 0.000 0.500
0.333 0.667 0.247
0.667 0.333 0.753
0.000 0.000 0.000
```


2.
DFT (PBE) results for NdGdBe2Ge2 after structural relaxation.

Output
Space-group type: P-3m1 (164)
Magnetization, μB/f.u.: 0.006

Geometry as POSCAR:
```
NdGdBe2Ge2
1.0
3.971 0.000 0.000
-1.985 3.439 0.000
0.000 0.000 8.362
Be Gd Ge Nd
2 1 2 1
Direct
0.667 0.333 0.255
0.333 0.667 0.745
0.000 0.000 0.500
0.333 0.667 0.257
0.667 0.333 0.743
0.000 0.000 0.000
```


3.
DFT (PBE) results for Gd2Be2GeO7 after structural relaxation.

Output
Space-group type: P-42_1m (113)
Magnetization, μB/f.u.: 0.000

Geometry as POSCAR:
```
Gd2Be2GeO7
1.0
7.435 0.000 0.000
0.000 7.435 0.000
0.000 0.000 4.807
Be Gd Ge O
4 4 2 14
Direct
0.365 0.135 0.046
0.635 0.865 0.046
0.865 0.365 0.954
0.135 0.635 0.954
0.158 0.342 0.495
0.842 0.658 0.495
0.658 0.158 0.505
0.342 0.842 0.505
0.000 0.000 0.000
0.500 0.500 0.000
0.500 0.000 0.181
0.172 0.080 0.216
0.420 0.328 0.216
0.580 0.672 0.216
0.828 0.920 0.216
0.858 0.358 0.282
0.142 0.642 0.282
0.358 0.142 0.718
0.642 0.858 0.718
0.920 0.172 0.784
0.672 0.420 0.784
0.328 0.580 0.784
0.080 0.828 0.784
0.000 0.500 0.819
```


4.
DFT (PBE) results for GdScBe2Ge2 after structural relaxation.

Output
Space-group type: P-3m1 (164)
Magnetization, μB/f.u.: 0.002

Geometry as POSCAR:
```
GdScBe2Ge2
1.0
3.884 0.000 0.000
-1.942 3.364 0.000
0.000 0.000 7.803
Be Gd Ge Sc
2 1 2 1
Direct
0.667 0.333 0.236
0.333 0.667 0.764
0.000 0.000 0.500
0.333 0.667 0.234
0.667 0.333 0.766
0.000 0.000 0.000
```


5.
DFT (PBE) results for GdYBe2SiGe after structural relaxation.

Output
Space-group type: P3m1 (156)
Magnetization, μB/f.u.: 0.010

Geometry as POSCAR:
```
GdYBe2SiGe
1.0
-1.315 3.539 -1.008
-2.080 -3.185 -0.894
-3.918 0.567 7.098
Be Gd Ge Si Y
2 1 1 1 1
Direct
0.333 0.667 0.249
0.667 0.333 0.751
0.000 0.000 0.498
0.333 0.667 0.751
0.667 0.333 0.249
0.000 0.000 0.003
```


6.
DFT (PBE) results for SmGdBe2Ge2 after structural relaxation.

Output
Space-group type: P-3m1 (164)
Magnetization, μB/f.u.: 0.005

Geometry as POSCAR:
```
SmGdBe2Ge2
1.0
-3.368 0.476 -2.020
2.620 -2.737 -1.139
-3.712 -5.580 4.872
Be Gd Ge Sm
2 1 2 1
Direct
0.667 0.333 0.252
0.333 0.667 0.748
0.000 0.000 0.500
0.333 0.667 0.253
0.667 0.333 0.747
0.000 0.000 0.000
```


7.
DFT (PBE) results for GdTmBe2Ge2 after structural relaxation.

Output
Space-group type: P-3m1 (164)
Magnetization, μB/f.u.: 0.002

Geometry as POSCAR:
```
GdTmBe2Ge2
1.0
3.915 0.000 0.000
-1.957 3.390 0.000
0.000 0.000 8.075
Be Gd Ge Tm
2 1 2 1
Direct
0.667 0.333 0.245
0.333 0.667 0.755
0.000 0.000 0.500
0.333 0.667 0.244
0.667 0.333 0.756
0.000 0.000 0.000
```


8.
DFT (PBE) results for GdHfBe after structural relaxation.

Output
Space-group type: F-43m (216)
Magnetization, μB/f.u.: 1.019

Geometry as POSCAR:
```
GdHfBe
1.0
0.000 3.291 3.291
3.291 0.000 3.291
3.291 3.291 0.000
Be Gd Hf
1 1 1
Direct
0.250 0.250 0.250
0.750 0.750 0.750
0.000 0.000 0.000
```


9.
DFT (PBE) results for GdHfBe2Si2 after structural relaxation.

Output
Space-group type: P-3m1 (164)
Magnetization, μB/f.u.: 0.007

Geometry as POSCAR:
```
GdHfBe2Si2
1.0
-3.506 -0.072 1.412
2.916 -1.136 2.122
0.902 7.192 2.609
Be Gd Hf Si
2 1 1 2
Direct
0.667 0.333 0.276
0.333 0.667 0.724
0.000 0.000 0.000
0.000 0.000 0.500
0.333 0.667 0.267
0.667 0.333 0.733
```


10.
DFT (PBE) results for GdHoBe2Si2 after structural relaxation.

Output
Space-group type: P-3m1 (164)
Magnetization, μB/f.u.: 0.023

Geometry as POSCAR:
```
GdHoBe2Si2
1.0
-1.619 -3.507 -0.337
1.847 0.977 3.266
-6.903 2.894 3.038
Be Gd Ho Si
2 1 1 2
Direct
0.667 0.333 0.253
0.333 0.667 0.747
0.000 0.000 0.000
0.000 0.000 0.500
0.333 0.667 0.254
0.667 0.333 0.746
```


11.
DFT (PBE) results for KGdBeS3 after structural relaxation.

Output
Space-group type: Cmcm (63)
Magnetization, μB/f.u.: 0.001

Geometry as POSCAR:
```
KGdBeS3
1.0
4.763 1.906 5.277
-5.799 -3.985 -2.157
6.471 -7.777 -3.031
Be Gd K S
2 2 2 6
Direct
0.038 0.962 0.250
0.962 0.038 0.750
0.500 0.500 0.000
0.500 0.500 0.500
0.756 0.244 0.250
0.244 0.756 0.750
0.119 0.881 0.085
0.446 0.554 0.250
0.119 0.881 0.415
0.881 0.119 0.585
0.554 0.446 0.750
0.881 0.119 0.915
```


12.
DFT (PBE) results for KGdBeSe3 after structural relaxation.

Output
Space-group type: Cmcm (63)
Magnetization, μB/f.u.: 0.002

Geometry as POSCAR:
```
KGdBeSe3
1.0
-7.571 0.418 1.374
5.944 -3.496 -3.438
1.229 -6.529 8.766
Be Gd K Se
2 2 2 6
Direct
0.538 0.462 0.250
0.462 0.538 0.750
0.000 0.000 0.000
0.000 0.000 0.500
0.254 0.746 0.250
0.746 0.254 0.750
0.622 0.378 0.082
0.942 0.058 0.250
0.622 0.378 0.418
0.378 0.622 0.582
0.058 0.942 0.750
0.378 0.622 0.918
```


These records have energy values of -30.0 -30.1 -181.2 -31.5 -32.7 -30.1 -29.8 -14.9 -36.9 -31.5 -62.4 -56.7 eV per cell, in the order they appear.